## Ga2CuBi2 (PBE)

Data for a geometry-optimized Ga2CuBi2 structure.

Lattice parameters (Å, degrees): 7.2833 7.2833 4.8992 90.00 90.00 90.00
Last column: nearest neighbours and their distance in Å.
Fractional positions:
Ga 0.1517 0.3483 0.0000  1 Ga 3.13, 6 Bi 3.13-3.33
Ga 0.3483 0.8483 0.0000  1 Ga 3.13, 6 Bi 3.13-3.33
Ga 0.6517 0.1517 0.0000  1 Ga 3.13, 6 Bi 3.13-3.33
Ga 0.8483 0.6517 0.0000  1 Ga 3.13, 6 Bi 3.13-3.33
Cu 0.0000 0.0000 0.5000  4 Bi 2.74
Cu 0.5000 0.5000 0.5000  4 Bi 2.74
Bi 0.1588 0.6588 0.5000  2 Cu 2.74
Bi 0.3412 0.1588 0.5000  2 Cu 2.74
Bi 0.6588 0.8412 0.5000  2 Cu 2.74
Bi 0.8412 0.3412 0.5000  2 Cu 2.74

Properties
Calculated volume in Å³/atom: 25.99
SG: P4/mbm (127)
Energy of formation in meV/atom: 249
Crystal system: tetragonal
M_tot in Bohr magnetons per cell: 0.0

***

## NiMoOs2 (PBE)

Data for a geometry-optimized NiMoOs2 structure.

Lattice parameters (Å, degrees): 4.6161 4.6161 2.7744 90.00 90.00 108.15
Last column: nearest neighbours and their distance in Å.
Fractional positions:
Ni 0.0000 0.0000 0.0000  8 Os 2.69, 2 Mo 2.71, 2 Ni 2.77
Mo 0.5000 0.5000 0.0000  8 Os 2.69, 2 Ni 2.71, 2 Mo 2.77
Os 0.0000 0.5000 0.5000  4 Mo 2.69, 4 Ni 2.69, 4 Os 2.71-2.77
Os 0.5000 0.0000 0.5000  4 Mo 2.69, 4 Ni 2.69, 4 Os 2.71-2.77

Properties
Calculated volume in Å³/atom: 14.04
SG: Cmmm (65)
Energy of formation in meV/atom: 175
Crystal system: orthorhombic
M_tot in Bohr magnetons per cell: 0.0

***

## CsTlI2F8 (PBE)

Data for a geometry-optimized CsTlI2F8 structure.

Lattice parameters (Å, degrees): 5.5559 5.5559 10.1168 90.00 90.00 120.00
Last column: nearest neighbours and their distance in Å.
Fractional positions:
Cs 0.0000 0.0000 0.0000  6 F 3.21
Tl 0.0000 0.0000 0.5000  6 F 2.22
I 0.3333 0.6667 0.7937  4 F 2.10-2.30
I 0.6667 0.3333 0.2063  4 F 2.10-2.30
F 0.0750 0.3479 0.6337  1 Tl 2.22, 1 I 2.30
F 0.2730 0.9250 0.6337  1 Tl 2.22, 1 I 2.30
F 0.3333 0.6667 0.0015  1 I 2.10
F 0.3479 0.2730 0.3663  1 Tl 2.22, 1 I 2.30
F 0.6521 0.7270 0.6337  1 Tl 2.22, 1 I 2.30
F 0.6667 0.3333 0.9985  1 I 2.10
F 0.7270 0.0750 0.3663  1 Tl 2.22, 1 I 2.30
F 0.9250 0.6521 0.3663  1 Tl 2.22, 1 I 2.30

Properties
Calculated volume in Å³/atom: 22.54
SG: P-3 (147)
Crystal system: trigonal
M_tot in Bohr magnetons per cell: 2.0
Electronic total energy in eV/atom: -3.16

***

## Pm6SiIr2I3 (PBE)

Data for a geometry-optimized Pm6SiIr2I3 structure.

Lattice parameters (Å, degrees): 7.3531 7.3531 8.3289 98.47 98.47 120.02
Last column: nearest neighbours and their distance in Å.
Fractional positions:
Pm 0.0926 0.4381 0.8118  2 Ir 2.83-2.84, 1 Si 2.95
Pm 0.2166 0.2166 0.1874  2 Ir 2.83, 1 Si 2.95
Pm 0.4381 0.0926 0.8118  2 Ir 2.83-2.84, 1 Si 2.95
Pm 0.5619 0.9074 0.1882  2 Ir 2.83-2.84, 1 Si 2.95
Pm 0.7834 0.7834 0.8126  2 Ir 2.83, 1 Si 2.95
Pm 0.9074 0.5619 0.1882  2 Ir 2.83-2.84, 1 Si 2.95
Si 0.5000 0.5000 0.0000  6 Pm 2.95
Ir 0.1670 0.8330 0.0000  6 Pm 2.83-2.84
Ir 0.8330 0.1670 0.0000  6 Pm 2.83-2.84
I 0.0000 0.0000 0.5000  6 Pm 3.43-3.52
I 0.3375 0.6625 0.5000  6 Pm 3.46-3.52
I 0.6625 0.3375 0.5000  6 Pm 3.46-3.52

Properties
Calculated volume in Å³/atom: 31.05
SG: C2/m (12)
Crystal system: monoclinic
M_tot in Bohr magnetons per cell: 0.0
Electronic total energy in eV/atom: -5.61